Entry 1:
Material: NaLiTl2Br8
Method: DFT, PBE
State: optimized geometry

Structure (POSCAR):
```
NaLiTl2Br8
1.0
-5.0191 5.0191 4.4118
5.0191 -5.0191 4.4118
5.0191 5.0191 -4.4118
Na Li Tl Br
1 1 2 8
Direct
0.0000 0.0000 0.0000
0.7500 0.2500 0.5000
0.2500 0.7500 0.5000
0.5000 0.5000 0.0000
0.0454 0.3548 0.3094
0.0454 0.7359 0.6906
0.1057 0.3032 0.8026
0.2641 0.9546 0.3094
0.5006 0.3032 0.1974
0.6452 0.9546 0.6906
0.6968 0.4994 0.8026
0.6968 0.8943 0.1974
```

ρ: 4.0 g cm⁻³
E_tot: -30.45 eV for the cell shown
uncorrected formation energy: -73 kJ/mol of atoms



Entry 2:
Material: Na2LiTlBr6
Method: DFT, PBE
State: optimized geometry

Structure (POSCAR):
```
Na2LiTlBr6
1.0
3.5506 2.0499 7.2192
-3.5506 2.0499 7.2192
0.0000 -4.0998 7.2192
Na Li Tl Br
2 1 1 6
Direct
0.0000 0.0000 0.0000
0.4961 0.4961 0.4961
0.8265 0.8265 0.8265
0.1737 0.1737 0.1737
0.0725 0.7883 0.4192
0.2260 0.5828 0.9156
0.4192 0.0725 0.7883
0.5828 0.9156 0.2260
0.7883 0.4192 0.0725
0.9156 0.2260 0.5828
```

energy above the most stable polymorph in this dataset: 0 meV per atom
ρ: 3.9 g cm⁻³
E_tot: -28.06 eV for the cell shown
uncorrected formation energy: -107 kJ/mol of atoms



Q: What is the uncorrected formation energy in the second record?
A: -107 kJ/mol of atoms